An optimized crystal structure of Nd3CrO, computed with PBE+U.

Magnetic moment = 3.8 μB per formula unit
Uncorrected energy = -6.312 eV per atom

Lattice parameters (Å, degrees): 4.9880 4.9880 4.9880 90.00 90.00 90.00
Closest atoms and distances in Å follow each position.
Element x y z (fractional)
Nd: 0.0000 0.0000 0.5000  2 O 2.49
Nd: 0.0000 0.5000 0.0000  2 O 2.49
Nd: 0.5000 0.0000 0.0000  2 O 2.49
Cr: 0.5000 0.5000 0.5000  12 Nd 3.53
O: 0.0000 0.0000 0.0000  6 Nd 2.49